Entry 1
! Hf2TlOs (PBE, optimized geometry); values from VASP
&SYSTEM
  ibrav = 0, nat = 8, ntyp = 3
/
ATOMIC_SPECIES
Hf 178.49 Hf.upf
Tl 204.38 Tl.upf
Os 190.23 Os.upf
CELL_PARAMETERS angstrom
7.811 0.000 0.000
0.000 7.811 0.000
3.906 3.906 2.904
ATOMIC_POSITIONS crystal
Hf 0.570 0.125 0.250
Hf 0.180 0.625 0.250
Hf 0.375 0.430 0.750
Hf 0.875 0.820 0.750
Tl 0.000 0.000 0.000
Tl 0.750 0.250 0.500
Os 0.500 0.500 0.000
Os 0.250 0.750 0.500
! Magnetic moment ... 0.00 Bohr magnetons per cell
! Symmetry ... I-42d
! N(E_F) ... 7.79 states/eV/cell

Entry 2
! Hf2TlOs (PBE, optimized geometry); values from VASP
&SYSTEM
  ibrav = 0, nat = 4, ntyp = 3
/
ATOMIC_SPECIES
Hf 178.49 Hf.upf
Tl 204.38 Tl.upf
Os 190.23 Os.upf
CELL_PARAMETERS angstrom
-0.246 2.556 -1.874
-2.732 -1.123 -1.173
-4.047 3.830 5.757
ATOMIC_POSITIONS crystal
Hf 0.000 0.000 0.793
Hf 0.000 0.000 0.207
Tl 0.500 0.500 0.500
Os 0.500 0.500 0.000
! Magnetic moment ... 0.00 Bohr magnetons per cell
! Symmetry ... P4/mmm
! N(E_F) ... 3.91 states/eV/cell

Entry 3
! Hf2TlOs (PBE, optimized geometry); values from VASP
&SYSTEM
  ibrav = 0, nat = 4, ntyp = 3
/
ATOMIC_SPECIES
Hf 178.49 Hf.upf
Tl 204.38 Tl.upf
Os 190.23 Os.upf
CELL_PARAMETERS angstrom
0.000 3.402 3.402
3.402 0.000 3.402
3.402 3.402 0.000
ATOMIC_POSITIONS crystal
Hf 0.250 0.250 0.250
Hf 0.750 0.750 0.750
Tl 0.500 0.500 0.500
Os 0.000 0.000 0.000
! Magnetic moment ... 0.00 Bohr magnetons per cell
! Symmetry ... Fm-3m
! N(E_F) ... 4.60 states/eV/cell

Which structure is the least stable? The one labeled entry 1.

Entry 1
! TmHf2Os (PBE, optimized geometry); values from VASP
&SYSTEM
  ibrav = 0, nat = 4, ntyp = 3
/
ATOMIC_SPECIES
Hf 178.49 Hf.upf
Tm 168.93 Tm.upf
Os 190.23 Os.upf
CELL_PARAMETERS angstrom
4.820 0.000 0.000
2.410 4.175 0.000
2.410 1.392 3.936
ATOMIC_POSITIONS crystal
Hf 0.250 0.250 0.250
Hf 0.750 0.750 0.750
Tm 0.500 0.500 0.500
Os 0.000 0.000 0.000
! Magnetic moment ... 0.00 Bohr magnetons per cell
! Symmetry ... Fm-3m
! N(E_F) ... 4.97 states/eV/cell

Entry 2
! TmHf2Os (PBE, optimized geometry); values from VASP
&SYSTEM
  ibrav = 0, nat = 4, ntyp = 3
/
ATOMIC_SPECIES
Hf 178.49 Hf.upf
Tm 168.93 Tm.upf
Os 190.23 Os.upf
CELL_PARAMETERS angstrom
-0.090 -1.939 2.620
-0.376 -2.597 -1.935
8.037 -0.882 -0.377
ATOMIC_POSITIONS crystal
Hf 0.000 0.000 0.802
Hf 0.000 0.000 0.198
Tm 0.500 0.500 0.500
Os 0.500 0.500 0.000
! Magnetic moment ... 1.28 Bohr magnetons per cell
! Symmetry ... P4/mmm
! N(E_F) ... 5.74 states/eV/cell

Which structure is the least stable? The one labeled entry 1.

Entry 1
! HfUOs (PBE, optimized geometry); values from VASP
&SYSTEM
  ibrav = 0, nat = 6, ntyp = 3
/
ATOMIC_SPECIES
Hf 178.49 Hf.upf
Os 190.23 Os.upf
U 238.03 U.upf
CELL_PARAMETERS angstrom
-5.615 -2.001 -0.144
0.346 -1.176 2.830
0.448 7.526 1.391
ATOMIC_POSITIONS crystal
Hf 0.618 0.118 0.236
Hf 0.382 0.882 0.764
Os 0.767 0.500 0.000
Os 0.233 0.500 0.000
U 0.171 0.671 0.343
U 0.829 0.329 0.657
! Magnetic moment ... 5.14 Bohr magnetons per cell
! Symmetry ... Immm
! N(E_F) ... 11.99 states/eV/cell

Entry 2
! HfUOs (PBE, optimized geometry); values from VASP
&SYSTEM
  ibrav = 0, nat = 3, ntyp = 3
/
ATOMIC_SPECIES
Hf 178.49 Hf.upf
Os 190.23 Os.upf
U 238.03 U.upf
CELL_PARAMETERS angstrom
3.463 0.000 0.000
0.000 3.463 0.000
-1.732 -1.732 4.953
ATOMIC_POSITIONS crystal
Hf 0.956 0.956 0.912
Os 0.633 0.633 0.265
U 0.261 0.261 0.523
! Magnetic moment ... 0.00 Bohr magnetons per cell
! Symmetry ... I4mm
! N(E_F) ... 4.54 states/eV/cell

Which structure is the least stable? The one labeled entry 1.

Entry 1
! HfV2Os (PBE, optimized geometry); values from VASP
&SYSTEM
  ibrav = 0, nat = 4, ntyp = 3
/
ATOMIC_SPECIES
Hf 178.49 Hf.upf
Os 190.23 Os.upf
V 50.94 V.upf
CELL_PARAMETERS angstrom
3.099 0.000 0.000
0.000 4.430 0.000
0.000 0.000 4.430
ATOMIC_POSITIONS crystal
Hf 0.500 0.000 0.000
Os 0.500 0.500 0.500
V 0.000 0.000 0.500
V 0.000 0.500 0.000
! Magnetic moment ... 0.00 Bohr magnetons per cell
! Symmetry ... P4/mmm
! N(E_F) ... 6.21 states/eV/cell

Entry 2
! HfV2Os (PBE, optimized geometry); values from VASP
&SYSTEM
  ibrav = 0, nat = 4, ntyp = 3
/
ATOMIC_SPECIES
Hf 178.49 Hf.upf
Os 190.23 Os.upf
V 50.94 V.upf
CELL_PARAMETERS angstrom
-0.450 4.234 1.138
-3.121 1.189 2.875
1.125 1.325 4.050
ATOMIC_POSITIONS crystal
Hf 0.000 0.000 0.000
Os 0.500 0.500 0.500
V 0.250 0.250 0.250
V 0.750 0.750 0.750
! Magnetic moment ... 0.00 Bohr magnetons per cell
! Symmetry ... Fm-3m
! N(E_F) ... 5.38 states/eV/cell

Entry 3
! HfV2Os (PBE, optimized geometry); values from VASP
&SYSTEM
  ibrav = 0, nat = 8, ntyp = 3
/
ATOMIC_SPECIES
Os 190.23 Os.upf
Hf 178.49 Hf.upf
V 50.94 V.upf
CELL_PARAMETERS angstrom
-5.544 3.119 -3.293
-3.309 -6.338 -0.431
-5.586 -1.166 0.509
ATOMIC_POSITIONS crystal
Os 0.000 0.000 0.000
Os 0.750 0.250 0.500
Hf 0.500 0.500 0.000
Hf 0.250 0.750 0.500
V 0.666 0.125 0.250
V 0.084 0.625 0.250
V 0.375 0.334 0.750
V 0.875 0.916 0.750
! Magnetic moment ... 0.00 Bohr magnetons per cell
! Symmetry ... I-42d
! N(E_F) ... 8.41 states/eV/cell

Which structure is the least stable? The one labeled entry 3.

Entry 1
! Hf3OsW (PBE, optimized geometry); values from VASP
&SYSTEM
  ibrav = 0, nat = 5, ntyp = 3
/
ATOMIC_SPECIES
Hf 178.49 Hf.upf
Os 190.23 Os.upf
W 183.84 W.upf
CELL_PARAMETERS angstrom
-4.203 1.224 -2.257
-2.432 -0.511 4.252
0.823 4.743 1.041
ATOMIC_POSITIONS crystal
Hf 0.000 0.500 0.000
Hf 0.000 0.000 0.500
Hf 0.500 0.000 0.000
Os 0.000 0.000 0.000
W 0.500 0.500 0.500
! Magnetic moment ... 1.23 Bohr magnetons per cell
! Symmetry ... Pm-3m
! N(E_F) ... 5.08 states/eV/cell

Entry 2
! Hf3OsW (PBE, optimized geometry); values from VASP
&SYSTEM
  ibrav = 0, nat = 5, ntyp = 3
/
ATOMIC_SPECIES
Hf 178.49 Hf.upf
Os 190.23 Os.upf
W 183.84 W.upf
CELL_PARAMETERS angstrom
-4.307 -1.747 1.601
2.370 -3.233 2.846
0.042 3.265 3.674
ATOMIC_POSITIONS crystal
Hf 0.000 0.500 0.000
Hf 0.000 0.000 0.500
Hf 0.500 0.000 0.000
Os 0.500 0.500 0.500
W 0.000 0.000 0.000
! Magnetic moment ... 0.00 Bohr magnetons per cell
! Symmetry ... Pm-3m
! N(E_F) ... 4.77 states/eV/cell

Which structure is the least stable? The one labeled entry 2.

Entry 1
! HfOsW2 (PBE, optimized geometry); values from VASP
&SYSTEM
  ibrav = 0, nat = 4, ntyp = 3
/
ATOMIC_SPECIES
Hf 178.49 Hf.upf
Os 190.23 Os.upf
W 183.84 W.upf
CELL_PARAMETERS angstrom
0.000 3.205 3.205
3.205 0.000 3.205
3.205 3.205 0.000
ATOMIC_POSITIONS crystal
Hf 0.000 0.000 0.000
Os 0.500 0.500 0.500
W 0.250 0.250 0.250
W 0.750 0.750 0.750
! Magnetic moment ... 0.00 Bohr magnetons per cell
! Symmetry ... Fm-3m
! N(E_F) ... 4.03 states/eV/cell

Entry 2
! HfOsW2 (PBE, optimized geometry); values from VASP
&SYSTEM
  ibrav = 0, nat = 8, ntyp = 3
/
ATOMIC_SPECIES
Hf 178.49 Hf.upf
Os 190.23 Os.upf
W 183.84 W.upf
CELL_PARAMETERS angstrom
7.496 0.000 0.000
0.000 7.496 0.000
3.748 3.748 2.658
ATOMIC_POSITIONS crystal
Hf 0.500 0.500 0.000
Hf 0.250 0.750 0.500
Os 0.000 0.000 0.000
Os 0.750 0.250 0.500
W 0.663 0.125 0.250
W 0.087 0.625 0.250
W 0.375 0.337 0.750
W 0.875 0.913 0.750
! Magnetic moment ... 0.00 Bohr magnetons per cell
! Symmetry ... I-42d
! N(E_F) ... 9.01 states/eV/cell

Which structure is the least stable? The one labeled entry 2.

Entry 1
! YHf2Os2 (PBE, optimized geometry); values from VASP
&SYSTEM
  ibrav = 0, nat = 10, ntyp = 3
/
ATOMIC_SPECIES
Y 88.91 Y.upf
Hf 178.49 Hf.upf
Os 190.23 Os.upf
CELL_PARAMETERS angstrom
8.002 0.000 0.000
0.000 8.002 0.000
0.000 0.000 3.071
ATOMIC_POSITIONS crystal
Y 0.000 0.000 0.000
Y 0.500 0.500 0.000
Hf 0.363 0.863 0.000
Hf 0.863 0.637 0.000
Hf 0.637 0.137 0.000
Hf 0.137 0.363 0.000
Os 0.157 0.657 0.500
Os 0.657 0.843 0.500
Os 0.843 0.343 0.500
Os 0.343 0.157 0.500
! Magnetic moment ... 0.00 Bohr magnetons per cell
! Symmetry ... P4/mbm
! N(E_F) ... 8.56 states/eV/cell

Entry 2
! YHf2Os2 (PBE, optimized geometry); values from VASP
&SYSTEM
  ibrav = 0, nat = 10, ntyp = 3
/
ATOMIC_SPECIES
Y 88.91 Y.upf
Hf 178.49 Hf.upf
Os 190.23 Os.upf
CELL_PARAMETERS angstrom
-4.153 -2.402 6.238
-4.925 -3.866 -4.767
1.854 -2.634 0.220
ATOMIC_POSITIONS crystal
Y 0.000 0.000 0.000
Y 0.500 0.500 0.000
Hf 0.145 0.645 0.500
Hf 0.645 0.855 0.500
Hf 0.855 0.355 0.500
Hf 0.355 0.145 0.500
Os 0.353 0.853 0.000
Os 0.853 0.647 0.000
Os 0.647 0.147 0.000
Os 0.147 0.353 0.000
! Magnetic moment ... 0.00 Bohr magnetons per cell
! Symmetry ... P4/mbm
! N(E_F) ... 5.15 states/eV/cell

Entry 3
! YHf2Os2 (PBE, optimized geometry); values from VASP
&SYSTEM
  ibrav = 0, nat = 5, ntyp = 3
/
ATOMIC_SPECIES
Y 88.91 Y.upf
Hf 178.49 Hf.upf
Os 190.23 Os.upf
CELL_PARAMETERS angstrom
-0.094 3.299 2.842
-3.291 1.808 -2.207
-5.445 -0.335 3.546
ATOMIC_POSITIONS crystal
Y 0.000 0.000 0.000
Hf 0.750 0.250 0.500
Hf 0.250 0.750 0.500
Os 0.390 0.390 0.221
Os 0.610 0.610 0.779
! Magnetic moment ... 0.00 Bohr magnetons per cell
! Symmetry ... I4/mmm
! N(E_F) ... 4.93 states/eV/cell

Which structure is the least stable? The one labeled entry 1.

Entry 1
! Y3HfOs (PBE, optimized geometry); values from VASP
&SYSTEM
  ibrav = 0, nat = 5, ntyp = 3
/
ATOMIC_SPECIES
Y 88.91 Y.upf
Hf 178.49 Hf.upf
Os 190.23 Os.upf
CELL_PARAMETERS angstrom
5.347 0.000 0.000
0.000 5.347 0.000
0.000 0.000 5.347
ATOMIC_POSITIONS crystal
Y 0.000 0.500 0.000
Y 0.000 0.000 0.500
Y 0.500 0.000 0.000
Hf 0.500 0.500 0.500
Os 0.000 0.000 0.000
! Magnetic moment ... 1.86 Bohr magnetons per cell
! Symmetry ... Pm-3m
! N(E_F) ... 9.22 states/eV/cell

Entry 2
! Y3HfOs (PBE, optimized geometry); values from VASP
&SYSTEM
  ibrav = 0, nat = 5, ntyp = 3
/
ATOMIC_SPECIES
Y 88.91 Y.upf
Hf 178.49 Hf.upf
Os 190.23 Os.upf
CELL_PARAMETERS angstrom
-0.329 -0.744 5.260
-0.321 -5.257 -0.764
5.302 -0.364 0.281
ATOMIC_POSITIONS crystal
Y 0.000 0.500 0.000
Y 0.000 0.000 0.500
Y 0.500 0.000 0.000
Hf 0.000 0.000 0.000
Os 0.500 0.500 0.500
! Magnetic moment ... 1.98 Bohr magnetons per cell
! Symmetry ... Pm-3m
! N(E_F) ... 8.95 states/eV/cell

Which structure is the least stable? The one labeled entry 2.

Entry 1
! Hf6ZnOs (PBE, optimized geometry); values from VASP
&SYSTEM
  ibrav = 0, nat = 8, ntyp = 3
/
ATOMIC_SPECIES
Hf 178.49 Hf.upf
Zn 65.41 Zn.upf
Os 190.23 Os.upf
CELL_PARAMETERS angstrom
-3.466 -3.592 6.215
2.219 -6.706 2.480
1.549 -1.853 4.906
ATOMIC_POSITIONS crystal
Hf 0.016 0.451 0.776
Hf 0.758 0.985 0.707
Hf 0.550 0.242 0.193
Hf 0.242 0.015 0.293
Hf 0.984 0.549 0.224
Hf 0.450 0.758 0.807
Zn 0.500 0.500 0.500
Os 0.000 0.000 0.000
! Magnetic moment ... 0.00 Bohr magnetons per cell
! Symmetry ... R-3
! N(E_F) ... 7.00 states/eV/cell

Entry 2
! Hf6ZnOs (PBE, optimized geometry); values from VASP
&SYSTEM
  ibrav = 0, nat = 8, ntyp = 3
/
ATOMIC_SPECIES
Hf 178.49 Hf.upf
Zn 65.41 Zn.upf
Os 190.23 Os.upf
CELL_PARAMETERS angstrom
-3.672 1.628 2.220
2.639 1.017 3.615
0.790 8.210 0.021
ATOMIC_POSITIONS crystal
Hf 0.750 0.750 0.501
Hf 0.611 0.111 0.779
Hf 0.111 0.611 0.779
Hf 0.389 0.889 0.221
Hf 0.250 0.250 0.499
Hf 0.889 0.389 0.221
Zn 0.500 0.500 0.000
Os 0.000 0.000 0.000
! Magnetic moment ... 0.00 Bohr magnetons per cell
! Symmetry ... I4/mmm
! N(E_F) ... 6.55 states/eV/cell

Which structure is the least stable? The one labeled entry 1.

Entry 1
! HfZr2Os (PBE, optimized geometry); values from VASP
&SYSTEM
  ibrav = 0, nat = 8, ntyp = 3
/
ATOMIC_SPECIES
Hf 178.49 Hf.upf
Os 190.23 Os.upf
Zr 91.22 Zr.upf
CELL_PARAMETERS angstrom
7.867 0.000 0.000
0.000 7.867 0.000
3.934 3.934 2.851
ATOMIC_POSITIONS crystal
Hf 0.500 0.500 0.000
Hf 0.250 0.750 0.500
Os 0.000 0.000 0.000
Os 0.750 0.250 0.500
Zr 0.677 0.125 0.250
Zr 0.073 0.625 0.250
Zr 0.375 0.323 0.750
Zr 0.875 0.927 0.750
! Magnetic moment ... 0.00 Bohr magnetons per cell
! Symmetry ... I-42d
! N(E_F) ... 6.07 states/eV/cell

Entry 2
! HfZr2Os (PBE, optimized geometry); values from VASP
&SYSTEM
  ibrav = 0, nat = 4, ntyp = 3
/
ATOMIC_SPECIES
Hf 178.49 Hf.upf
Os 190.23 Os.upf
Zr 91.22 Zr.upf
CELL_PARAMETERS angstrom
3.338 0.000 0.000
0.000 4.846 0.000
0.000 0.000 4.846
ATOMIC_POSITIONS crystal
Hf 0.500 0.000 0.000
Os 0.500 0.500 0.500
Zr 0.000 0.000 0.500
Zr 0.000 0.500 0.000
! Magnetic moment ... 0.00 Bohr magnetons per cell
! Symmetry ... P4/mmm
! N(E_F) ... 5.42 states/eV/cell

Which structure is the least stable? The one labeled entry 1.

Entry 1
! HfZr2Os (PBE, optimized geometry); values from VASP
&SYSTEM
  ibrav = 0, nat = 8, ntyp = 3
/
ATOMIC_SPECIES
Hf 178.49 Hf.upf
Zr 91.22 Zr.upf
Os 190.23 Os.upf
CELL_PARAMETERS angstrom
3.302 0.000 0.000
-1.651 5.482 0.000
0.000 0.000 9.270
ATOMIC_POSITIONS crystal
Hf 0.930 0.860 0.250
Hf 0.070 0.140 0.750
Zr 0.367 0.734 0.551
Zr 0.633 0.266 0.449
Zr 0.633 0.266 0.051
Zr 0.367 0.734 0.949
Os 0.234 0.468 0.250
Os 0.766 0.532 0.750
! Magnetic moment ... 0.00 Bohr magnetons per cell
! Symmetry ... Cmcm
! N(E_F) ... 9.20 states/eV/cell

Entry 2
! HfZr2Os (PBE, optimized geometry); values from VASP
&SYSTEM
  ibrav = 0, nat = 4, ntyp = 3
/
ATOMIC_SPECIES
Hf 178.49 Hf.upf
Os 190.23 Os.upf
Zr 91.22 Zr.upf
CELL_PARAMETERS angstrom
0.000 3.389 3.389
3.389 0.000 3.389
3.389 3.389 0.000
ATOMIC_POSITIONS crystal
Hf 0.000 0.000 0.000
Os 0.500 0.500 0.500
Zr 0.250 0.250 0.250
Zr 0.750 0.750 0.750
! Magnetic moment ... 0.00 Bohr magnetons per cell
! Symmetry ... Fm-3m
! N(E_F) ... 5.22 states/eV/cell

Entry 3
! HfZr2Os (PBE, optimized geometry); values from VASP
&SYSTEM
  ibrav = 0, nat = 4, ntyp = 3
/
ATOMIC_SPECIES
Hf 178.49 Hf.upf
Os 190.23 Os.upf
Zr 91.22 Zr.upf
CELL_PARAMETERS angstrom
3.282 0.000 0.000
0.000 3.282 0.000
0.000 0.000 7.477
ATOMIC_POSITIONS crystal
Hf 0.500 0.500 0.500
Os 0.500 0.500 0.000
Zr 0.000 0.000 0.780
Zr 0.000 0.000 0.220
! Magnetic moment ... 0.00 Bohr magnetons per cell
! Symmetry ... P4/mmm
! N(E_F) ... 3.37 states/eV/cell

Which structure is the least stable? The one labeled entry 2.